[1]
VASP calculation (PBE) on InNi2H2 after structural relaxation.

```
InNi2H2
1.0
3.246 0.138 -1.219
-0.600 3.187 -1.235
0.033 0.046 5.004
In Ni H
1 2 2
direct
0.000 0.000 0.000 In
0.750 0.250 0.500 Ni
0.250 0.750 0.500 Ni
0.299 0.299 0.598 H
0.701 0.701 0.402 H
```

Summary:
Energy relative to the lowest polymorph listed for this composition in meV/atom: 0
Electronic total energy in eV per atom: -4.264

[2]
VASP calculation (PBE) on Li5Ag6Hg after structural relaxation.

```
Li5Ag6Hg
1.0
-3.201 -0.830 -2.864
-6.215 -5.435 1.748
-6.560 2.030 3.358
Li Ag Hg
5 6 1
direct
0.500 0.152 0.695 Li
0.000 0.321 0.358 Li
0.500 0.500 0.000 Li
0.000 0.679 0.642 Li
0.500 0.848 0.305 Li
0.728 0.102 0.344 Ag
0.272 0.555 0.344 Ag
0.216 0.286 0.000 Ag
0.784 0.714 0.000 Ag
0.728 0.445 0.656 Ag
0.272 0.898 0.656 Ag
0.000 0.000 0.000 Hg
```

Summary:
Energy relative to the lowest polymorph listed for this composition in meV/atom: 0
Electronic total energy in eV per atom: -2.439
Formation enthalpy at 0 K in meV/atom: -191

[3]
VASP calculation (PBE) on Cu2HgP after structural relaxation.

```
Cu2HgP
1.0
4.558 0.000 0.000
0.000 4.558 0.000
2.279 2.279 7.328
P Hg Cu
2 2 4
direct
0.500 0.500 0.000 P
0.250 0.750 0.500 P
0.000 0.000 0.000 Hg
0.750 0.250 0.500 Hg
0.500 0.125 0.250 Cu
0.250 0.625 0.250 Cu
0.375 0.500 0.750 Cu
0.875 0.750 0.750 Cu
```

Summary:
Electronic total energy in eV per atom: -3.291
Formation enthalpy at 0 K in meV/atom: 185

[4]
VASP calculation (PBE) on KTl2Te after structural relaxation.

```
KTl2Te
1.0
-2.219 0.110 -9.134
5.550 -7.450 -1.438
-0.968 -5.750 -4.671
Tl Te K
4 2 2
direct
0.659 0.125 0.250 Tl
0.091 0.625 0.250 Tl
0.375 0.341 0.750 Tl
0.875 0.909 0.750 Tl
0.000 0.000 0.000 Te
0.750 0.250 0.500 Te
0.500 0.500 0.000 K
0.250 0.750 0.500 K
```

Summary:
Raw formation energy in eV/atom: -0.367
Energy relative to the lowest polymorph listed for this composition in meV/atom: 49
Electronic total energy in eV per atom: -2.610

[5]
VASP calculation (PBE) on Sr2PrSi3Au12 after structural relaxation.

```
Sr2PrSi3Au12
1.0
-2.588 -1.335 7.784
6.031 -1.137 5.604
1.188 6.314 5.272
Sr Pr Si Au
2 1 3 12
direct
0.596 0.596 0.596 Sr
0.404 0.404 0.404 Sr
0.000 0.000 0.000 Pr
0.500 0.000 0.000 Si
0.000 0.500 0.000 Si
0.000 0.000 0.500 Si
0.313 0.313 0.864 Au
0.855 0.855 0.414 Au
0.414 0.855 0.855 Au
0.864 0.313 0.313 Au
0.855 0.414 0.855 Au
0.313 0.864 0.313 Au
0.687 0.687 0.136 Au
0.145 0.145 0.586 Au
0.586 0.145 0.145 Au
0.136 0.687 0.687 Au
0.145 0.586 0.145 Au
0.687 0.136 0.687 Au
```

Summary:
Raw formation energy in eV/atom: -0.203
Electronic total energy in eV per atom: -3.744

[6]
VASP calculation (PBE) on VBiN3 after structural relaxation.

```
VBiN3
1.0
3.905 0.000 0.000
0.000 3.905 0.000
0.000 0.000 3.905
V Bi N
1 1 3
direct
0.000 0.000 0.000 V
0.500 0.500 0.500 Bi
0.000 0.500 0.000 N
0.000 0.000 0.500 N
0.500 0.000 0.000 N
```

Summary:
Raw formation energy in eV/atom: 0.362
Electronic total energy in eV per atom: -7.233